First-principles (PBE) data for PrNpV after structural relaxation, as listed in the Alexandria database.

a b c (Å): 3.232 6.644 7.037
angles (deg): 70.51 76.73 75.92
Fractional coordinates of all 6 atoms:
1 Np 0.110 0.846 0.934
2 Np 0.890 0.154 0.066
3 Pr 0.604 0.226 0.566
4 Pr 0.396 0.774 0.434
5 V 0.167 0.519 0.147
6 V 0.833 0.481 0.853

Summary:
As for the density of states at the Fermi level: 10.67 states/eV per cell. The calculation puts the calculated formation energy at 478 meV/atom. As for the total magnetization: 0.00 μB per formula unit. The value obtained for the energy is -0.311 hartree per atom.